! Li2Zn5Ir2 GGA-PBE relaxed; values from VASP
&SYSTEM
  ibrav = 0, nat = 9, ntyp = 3
/
ATOMIC_SPECIES
Li 6.94 Li.upf
Zn 65.41 Zn.upf
Ir 192.22 Ir.upf
CELL_PARAMETERS angstrom
4.5920 0.0000 0.0000
2.2462 4.4781 0.0000
1.8223 -0.0683 6.5190
ATOMIC_POSITIONS crystal
Li 0.1646 0.1008 0.1048
Li 0.8354 0.8992 0.8952
Zn 0.0589 0.7419 0.4564
Zn 0.3131 0.3328 0.7334
Zn 0.5000 0.5000 0.0000
Zn 0.6869 0.6672 0.2666
Zn 0.9411 0.2581 0.5436
Ir 0.4503 0.7921 0.6677
Ir 0.5497 0.2079 0.3323
! - crystal system = triclinic
! - VASP energy (eV/atom) = -3.32
! - relative energy among the computed polymorphs (eV/atom) = 0.000
! - space-group type = P-1 (2)
! - energy relative to the elements (eV per atom) = -0.214



! CrAg2Pt GGA-PBE relaxed; values from VASP
&SYSTEM
  ibrav = 0, nat = 4, ntyp = 3
/
ATOMIC_SPECIES
Cr 52.00 Cr.upf
Ag 107.87 Ag.upf
Pt 195.08 Pt.upf
CELL_PARAMETERS angstrom
2.9299 0.0000 0.0000
0.0000 3.8089 0.0000
0.0000 0.0000 5.9155
ATOMIC_POSITIONS crystal
Cr 0.0000 0.0000 0.0000
Ag 0.0000 0.0000 0.4749
Ag 0.5000 0.5000 0.7240
Pt 0.5000 0.5000 0.1985
! - crystal system = orthorhombic
! - VASP energy (eV/atom) = -5.25
! - relative energy among the computed polymorphs (eV/atom) = 0.000
! - space-group type = Pmm2 (25)
! - energy relative to the elements (eV per atom) = 0.094



! TiTcTe2I GGA-PBE relaxed; values from VASP
&SYSTEM
  ibrav = 0, nat = 5, ntyp = 4
/
ATOMIC_SPECIES
Ti 47.87 Ti.upf
Tc 98.00 Tc.upf
Te 127.60 Te.upf
I 126.90 I.upf
CELL_PARAMETERS angstrom
5.3504 0.0000 0.0000
0.0000 5.3504 0.0000
0.0000 0.0000 5.5210
ATOMIC_POSITIONS crystal
Ti 0.0000 0.0000 0.0000
Tc 0.5000 0.5000 0.5000
Te 0.0000 0.5000 0.0000
Te 0.5000 0.0000 0.0000
I 0.0000 0.0000 0.5000
! - crystal system = tetragonal
! - VASP energy (eV/atom) = -4.52
! - relative energy among the computed polymorphs (eV/atom) = 0.000
! - space-group type = P4/mmm (123)
! - formation energy from raw total energies (kJ/mol of formula units) = 338



! RbScPb GGA-PBE relaxed; values from VASP
&SYSTEM
  ibrav = 0, nat = 6, ntyp = 3
/
ATOMIC_SPECIES
Rb 85.47 Rb.upf
Sc 44.96 Sc.upf
Pb 207.20 Pb.upf
CELL_PARAMETERS angstrom
3.6066 0.0000 0.0000
0.0000 5.4845 0.0000
-0.0284 0.0000 11.2045
ATOMIC_POSITIONS crystal
Rb 0.0000 0.0000 0.0000
Rb 0.4947 0.5000 0.2601
Sc 0.4976 0.0000 0.6368
Sc 0.4990 0.5000 0.8030
Pb 0.9956 0.0000 0.4084
Pb 0.9971 0.5000 0.5866
! - crystal system = monoclinic
! - VASP energy (eV/atom) = -3.53
! - relative energy among the computed polymorphs (eV/atom) = 0.376
! - space-group type = Pm (6)
! - energy relative to the elements (eV per atom) = 0.139



! BaSmTaN3 GGA-PBE relaxed; values from VASP
&SYSTEM
  ibrav = 0, nat = 12, ntyp = 4
/
ATOMIC_SPECIES
Ba 137.33 Ba.upf
Sm 150.36 Sm.upf
Ta 180.95 Ta.upf
N 14.01 N.upf
CELL_PARAMETERS angstrom
6.9090 -2.0420 0.0000
6.9090 2.0420 0.0000
-2.0584 0.0000 7.4991
ATOMIC_POSITIONS crystal
Ba 0.1477 0.1477 0.0758
Ba 0.8523 0.8523 0.9242
Sm 0.1578 0.1578 0.5776
Sm 0.8422 0.8422 0.4224
Ta 0.4978 0.4978 0.6946
Ta 0.5022 0.5022 0.3054
N 0.0054 0.0054 0.3159
N 0.3409 0.3409 0.6502
N 0.3519 0.3519 0.2044
N 0.6481 0.6481 0.7956
N 0.6591 0.6591 0.3498
N 0.9946 0.9946 0.6841
! - crystal system = monoclinic
! - VASP energy (eV/atom) = -8.25
! - space-group type = C2/m (12)
! - formation energy from raw total energies (kJ/mol of formula units) = -582



! BaTeIr2 GGA-PBE relaxed; values from VASP
&SYSTEM
  ibrav = 0, nat = 4, ntyp = 3
/
ATOMIC_SPECIES
Ba 137.33 Ba.upf
Te 127.60 Te.upf
Ir 192.22 Ir.upf
CELL_PARAMETERS angstrom
3.3485 0.0000 0.0000
0.0000 3.3485 0.0000
0.0000 0.0000 8.0024
ATOMIC_POSITIONS crystal
Ba 0.0000 0.0000 0.0000
Te 0.0000 0.0000 0.5000
Ir 0.5000 0.5000 0.3076
Ir 0.5000 0.5000 0.6924
! - crystal system = tetragonal
! - VASP energy (eV/atom) = -5.34
! - space-group type = P4/mmm (123)
! - formation energy from raw total energies (kJ/mol of formula units) = 138



! LaSeCl2 GGA-PBE relaxed; values from VASP
&SYSTEM
  ibrav = 0, nat = 8, ntyp = 3
/
ATOMIC_SPECIES
La 138.91 La.upf
Se 78.96 Se.upf
Cl 35.45 Cl.upf
CELL_PARAMETERS angstrom
10.5180 0.0000 0.0000
0.0000 4.2068 0.0000
-3.3529 0.0000 5.2479
ATOMIC_POSITIONS crystal
La 0.0000 0.0000 0.0000
La 0.5000 0.5000 0.0000
Se 0.1935 0.5000 0.4190
Se 0.6935 0.0000 0.4190
Cl 0.0144 0.5000 0.7135
Cl 0.3192 0.0000 0.0448
Cl 0.5144 0.0000 0.7135
Cl 0.8192 0.5000 0.0448
! - crystal system = monoclinic
! - VASP energy (eV/atom) = -4.71
! - relative energy among the computed polymorphs (eV/atom) = 0.000
! - space-group type = Cm (8)
! - formation energy from raw total energies (kJ/mol of formula units) = -649



! Li5GeBi6 GGA-PBE relaxed; values from VASP
&SYSTEM
  ibrav = 0, nat = 12, ntyp = 3
/
ATOMIC_SPECIES
Li 6.94 Li.upf
Ge 72.64 Ge.upf
Bi 208.98 Bi.upf
CELL_PARAMETERS angstrom
-2.3792 4.3155 7.2242
2.3792 -4.3155 7.2242
2.3792 4.3155 -7.2242
ATOMIC_POSITIONS crystal
Li 0.0000 0.0000 0.0000
Li 0.1738 0.6738 0.5000
Li 0.3424 0.3424 0.0000
Li 0.6576 0.6576 0.0000
Li 0.8262 0.3262 0.5000
Ge 0.5000 0.0000 0.5000
Bi 0.0760 0.8323 0.2437
Bi 0.2386 0.5000 0.7386
Bi 0.4114 0.1677 0.2437
Bi 0.5886 0.8323 0.7563
Bi 0.7614 0.5000 0.2614
Bi 0.9240 0.1677 0.7563
! - crystal system = orthorhombic
! - VASP energy (eV/atom) = -3.38
! - space-group type = Immm (71)
! - energy relative to the elements (eV per atom) = -0.255